No. 1
Below is an optimized crystal structure of Pa2Ga4Ni3Au, with properties calculated at the PBE level.

Cell: 4.0317 4.0317 10.4738 Å, 90.00 90.00 90.00°
Fractional positions:
1 Ni 0.0000 0.5000 0.1338
2 Ni 0.5000 0.0000 0.8662
3 Ni 0.0000 0.0000 0.5000
4 Ga 0.5000 0.5000 0.0000
5 Ga 0.5000 0.0000 0.6440
6 Ga 0.0000 0.5000 0.3560
7 Ga 0.0000 0.0000 0.0000
8 Pa 0.0000 0.5000 0.7639
9 Pa 0.5000 0.0000 0.2361
10 Au 0.5000 0.5000 0.5000

Output
**Energy**: -5.615 eV per atom

=====

No. 2
Below is an optimized crystal structure of GaNiPbAu2, with properties calculated at the PBE level.

Cell: 4.9631 4.4470 4.9631 Å, 90.00 90.00 90.00°
Fractional positions:
1 Pb 0.5000 0.5000 0.5000
2 Ga 0.0000 0.5000 0.0000
3 Ni 0.0000 0.0000 0.0000
4 Au 0.5000 0.0000 0.0000
5 Au 0.0000 0.0000 0.5000

Output
**Energy**: -3.689 eV per atom

=====

No. 3
Below is an optimized crystal structure of GaNiPdAu, with properties calculated at the PBE level.

Cell: 4.3664 4.3664 4.3664 Å, 60.00 60.00 60.00°
Fractional positions:
1 Pd 0.0000 0.0000 0.0000
2 Ga 0.7500 0.7500 0.7500
3 Ni 0.2500 0.2500 0.2500
4 Au 0.5000 0.5000 0.5000

Output
**Energy**: -4.543 eV per atom

=====

No. 4
Below is an optimized crystal structure of Pm2Ga3Ni4Au, with properties calculated at the PBE level.

Cell: 4.1464 4.1464 10.1119 Å, 90.00 90.00 90.00°
Fractional positions:
1 Ni 0.5000 0.0000 0.6470
2 Ni 0.0000 0.5000 0.3530
3 Ni 0.5000 0.5000 0.0000
4 Ni 0.0000 0.0000 0.0000
5 Au 0.5000 0.5000 0.5000
6 Ga 0.0000 0.5000 0.1195
7 Ga 0.5000 0.0000 0.8805
8 Ga 0.0000 0.0000 0.5000
9 Pm 0.0000 0.5000 0.7556
10 Pm 0.5000 0.0000 0.2444

Output
**Energy**: -5.011 eV per atom